Entry 1:
5
Lattice="3.541 0.000 0.000 0.000 3.541 0.000 -1.770 -1.770 8.331" Properties=species:S:1:pos:R:3 comment="Y2Si2Ge GGA-PBEsol relaxed" de_polymorph_mev_per_atom=154 mass_density_g_cm3=4.87 raw_formation_energy_ev_per_fu=-2.94 pbc="T T T"
Ge 0.000 0.000 0.000
Y 0.000 0.000 6.540
Y 1.770 1.770 1.791
Si 0.000 1.770 4.166
Si 1.770 0.000 4.166


Entry 2:
5
Lattice="-5.119 2.699 4.892 -3.150 -6.874 0.496 4.615 -1.699 5.766" Properties=species:S:1:pos:R:3 comment="K3BaGa GGA-PBEsol relaxed" mass_density_g_cm3=1.24 e_tot_ev_per_atom=-0.87 pbc="T T T"
Ga -1.827 -2.937 5.577
Ba 0.000 0.000 0.000
K 2.307 -0.849 2.883
K -1.575 -3.437 0.248
K -2.559 1.350 2.446


Entry 3:
3
Lattice="3.790 0.000 0.000 1.895 3.282 0.000 1.895 1.094 3.094" Properties=species:S:1:pos:R:3 comment="NiPOs GGA-PBEsol relaxed" mass_density_g_cm3=12.08 e_tot_ev_per_atom=-8.39 pbc="T T T"
Ni 0.000 0.000 0.000
Os 3.790 2.188 1.547
P 5.685 3.282 2.321